Compound: Sr2Cl2F
Source: Alexandria via LeMat-Bulk
Functional: GGA-PBE
Structure: optimized geometry

Structure (extended XYZ):
```
5
Lattice="4.7012 0.0000 0.0000 0.0000 4.7012 0.0000 2.3506 2.3506 7.2985" Properties=species:S:1:pos:R:3 pbc="T T T"
Sr 2.3506 2.3506 1.8809
Sr 4.7012 4.7012 5.4175
F 0.0000 0.0000 0.0000
Cl 4.7012 2.3506 3.6492
Cl 2.3506 4.7012 3.6492
```

Values from the calculation:
Its energy above the most stable polymorph in this dataset is 0.3614 eV per atom.

---

Compound: SrClF2
Source: Alexandria via LeMat-Bulk
Functional: GGA-PBE
Structure: optimized geometry

Structure (extended XYZ):
```
8
Lattice="-0.8544 1.1414 -4.4366 -3.8076 -2.6863 0.0422 -6.5899 5.3015 0.1855" Properties=species:S:1:pos:R:3 pbc="T T T"
Sr 0.0000 0.0000 0.0000
Sr -4.8876 2.8352 -3.2241
F -2.7167 1.7821 -3.0291
F -4.0747 -0.2901 -0.1739
F -6.4264 3.5832 -1.5117
F -9.2859 2.4378 -3.7030
Cl -2.3310 -0.7725 -2.1972
Cl -6.3643 0.9213 -0.9847
```

Values from the calculation:
Its energy above the most stable polymorph in this dataset is 0.1644 eV per atom.

---

Compound: SrClF2
Source: Alexandria via LeMat-Bulk
Functional: GGA-PBE
Structure: optimized geometry

Structure (extended XYZ):
```
4
Lattice="2.3637 0.0000 6.5544 -1.1819 2.0471 6.5544 -1.1819 -2.0471 6.5544" Properties=species:S:1:pos:R:3 pbc="T T T"
Sr 0.0000 0.0000 9.8315
F 0.0000 0.0000 17.1484
F 0.0000 0.0000 2.5147
Cl 0.0000 0.0000 0.0000
```

Values from the calculation:
Its energy above the most stable polymorph in this dataset is 0.0000 eV per atom.

---

Compound: Sr2Cl3F
Source: Alexandria via LeMat-Bulk
Functional: GGA-PBE
Structure: optimized geometry

Structure (extended XYZ):
```
12
Lattice="-1.3464 -4.2641 -0.5189 6.6727 -4.1896 -2.4115 5.0760 -4.9427 7.9192" Properties=species:S:1:pos:R:3 pbc="T T T"
Sr 6.0641 -9.6466 4.9572
Sr 4.3382 -3.7498 0.0315
Sr 3.5699 -6.3197 3.6169
Sr 6.8324 -7.0767 1.3718
Cl 4.6712 -4.5324 5.5984
Cl 5.7311 -8.8640 -0.6097
Cl 8.7175 -10.5986 5.8956
Cl 1.6848 -2.7978 -0.9069
Cl 7.5076 -9.7943 2.4252
Cl 2.8947 -3.6022 2.5636
F 5.9626 -7.0865 3.7097
F 4.4397 -6.3099 1.2790
```

---

Compound: SrClF
Source: Alexandria via LeMat-Bulk
Functional: GGA-PBE
Structure: optimized geometry

Structure (extended XYZ):
```
6
Lattice="4.5544 -0.0057 0.0021 0.0058 4.5544 0.0023 2.2763 2.2713 6.5266" Properties=species:S:1:pos:R:3 pbc="T T T"
Sr 2.0885 1.8122 2.6693
Sr 4.3677 4.0852 5.2770
Cl 2.0928 4.0892 0.7110
Cl 4.3671 1.8085 0.7108
F 2.0908 4.0896 3.9729
F 4.3657 1.8091 3.9730
```

Values from the calculation:
Its energy above the most stable polymorph in this dataset is 0.1722 eV per atom.

---

Compound: SrTlClF2
Source: Alexandria via LeMat-Bulk
Functional: GGA-PBE
Structure: optimized geometry

Structure (extended XYZ):
```
5
Lattice="-1.4602 -3.9764 2.1154 4.4741 -1.0243 1.1629 -0.6481 2.9440 5.0866" Properties=species:S:1:pos:R:3 pbc="T T T"
Sr 0.0000 0.0000 0.0000
Tl 1.1829 -1.0284 4.1825
F 2.2371 -0.5122 0.5815
F -0.7301 -1.9882 1.0577
Cl -0.3240 1.4720 2.5433
```

---

Compound: SrTl2Cl2F2
Source: Alexandria via LeMat-Bulk
Functional: GGA-PBE
Structure: optimized geometry

Structure (extended XYZ):
```
7
Lattice="4.7427 0.0000 0.0000 0.0000 4.7427 0.0000 -2.3714 -2.3714 8.5192" Properties=species:S:1:pos:R:3 pbc="T T T"
Sr 0.0000 0.0000 0.0000
Tl 0.0000 0.0000 6.0786
Tl 2.3714 2.3714 2.4406
Cl 0.0000 0.0000 2.9600
Cl 2.3714 2.3714 5.5592
F 0.0000 2.3714 0.0000
F 2.3714 0.0000 0.0000
```

---

Compound: SrUCl2F6
Source: Alexandria via LeMat-Bulk
Functional: GGA-PBE
Structure: optimized geometry

Structure (extended XYZ):
```
10
Lattice="6.5186 -0.0003 -0.0025 0.0004 6.5176 -0.0006 3.2577 3.2582 4.6072" Properties=species:S:1:pos:R:3 pbc="T T T"
Sr 0.0000 0.0000 0.0000
U 3.2595 3.2586 -0.0015
Cl 3.2592 6.5175 2.3022
Cl 6.5176 3.2579 2.3019
F 1.7877 4.7301 -0.0008
F 7.9893 7.9881 4.6049
F 3.2585 3.2587 2.0797
F 7.9891 5.0453 4.6049
F 1.7875 1.7873 -0.0008
F 6.5183 6.5168 2.5244
```

---

Compound: Sr3ZnCl2F6
Source: Alexandria via LeMat-Bulk
Functional: GGA-PBE
Structure: optimized geometry

Structure (extended XYZ):
```
12
Lattice="-4.9421 1.7399 1.4907 -0.0967 -4.9071 5.4065 1.9462 6.9232 1.3875" Properties=species:S:1:pos:R:3 pbc="T T T"
Sr -0.0484 -2.4536 2.7033
Sr -1.5463 1.8780 4.1424
Sr -1.4979 4.3315 1.4391
Zn -2.4710 0.8699 0.7454
Cl 0.1544 -0.3663 4.6013
Cl -3.2470 4.1223 3.6834
F -3.2370 0.5682 2.9356
F 0.1444 3.1878 5.3491
F -1.9064 1.8193 6.5482
F -1.1862 1.9367 1.7366
F 0.1925 5.6291 2.6594
F -3.2851 -1.8731 5.6254
```

---

Compound: TaClF3
Source: Alexandria via LeMat-Bulk
Functional: GGA-PBE
Structure: optimized geometry

Structure (extended XYZ):
```
5
Lattice="-2.2718 1.9868 -2.7532 -2.5992 -3.1490 -0.1277 -2.1844 1.6808 3.0153" Properties=species:S:1:pos:R:3 pbc="T T T"
F -1.2996 -1.5745 -0.0639
F -1.0922 0.8404 1.5076
F -1.1359 0.9934 -1.3766
Ta 0.0000 0.0000 0.0000
Cl -3.5277 0.2593 0.0672
```

Values from the calculation:
Its energy above the most stable polymorph in this dataset is 0.0000 eV per atom.

---

Compound: TaClF
Source: Alexandria via LeMat-Bulk
Functional: GGA-PBE
Structure: optimized geometry

Structure (extended XYZ):
```
6
Lattice="-1.9532 2.2367 -0.3939 -5.1265 -4.0203 2.6337 1.7864 2.3832 4.6650" Properties=species:S:1:pos:R:3 pbc="T T T"
F -3.6142 0.7528 5.1563
F -1.6790 -0.1532 1.7486
Cl -0.4515 1.2890 3.8591
Cl -4.8417 -0.6894 3.0458
Ta -5.0494 -0.4289 5.5573
Ta -0.2438 1.0286 1.3475
```

---

Compound: TaClF3
Source: Alexandria via LeMat-Bulk
Functional: GGA-PBE
Structure: optimized geometry

Structure (extended XYZ):
```
5
Lattice="-1.1346 -3.0527 -2.8921 2.0456 -3.0179 2.3830 -3.6741 -0.7376 2.2198" Properties=species:S:1:pos:R:3 pbc="T T T"
F 1.0228 -1.5089 1.1915
F -1.8370 -0.3688 1.1099
F -0.5673 -1.5263 -1.4461
Ta -1.3815 -3.4041 0.8553
Cl 0.0000 0.0000 0.0000
```

Values from the calculation:
Its energy above the most stable polymorph in this dataset is 2.7946 eV per atom.

---

Compound: TaClF8
Source: Alexandria via LeMat-Bulk
Functional: GGA-PBE
Structure: optimized geometry

Structure (extended XYZ):
```
40
Lattice="-2.0400 -1.0667 5.5524 -8.6416 -3.6303 -3.8724 4.3712 -10.0574 -0.3261" Properties=species:S:1:pos:R:3 pbc="T T T"
Ta -1.8201 -9.7648 -0.0642
Ta 2.0160 -8.2031 3.1912
Ta -4.4903 -4.9895 1.4181
Ta 0.3151 -2.9210 2.0351
Cl -4.0607 -8.2918 -3.0849
Cl 1.9759 -10.4245 -1.2767
Cl -0.2097 -5.3958 -1.1136
Cl -6.2463 -3.2632 -2.9218
F -3.0250 -1.8515 -0.7298
F -3.8933 -7.0492 -2.0474
F -7.1473 -8.5783 1.4956
F -2.9264 -1.9723 4.3155
F -3.2854 -12.9028 2.0837
F -2.4171 -7.7051 3.4012
F 0.8369 -6.1760 -0.1417
F -3.3841 -12.7821 -2.9616
F -8.0129 -5.7618 -0.1594
F -0.8832 -4.1730 2.7653
F -2.7751 -4.9267 0.6493
F -5.3208 -4.5898 -0.2213
F 1.7024 -8.9925 1.5133
F -5.4272 -10.5813 -1.4114
F -3.5353 -9.8276 0.7046
F -0.9896 -10.1645 1.5751
F -7.0416 -5.2661 -2.7066
F 0.0262 -3.6854 0.1938
F -3.6911 -5.3992 3.2213
F -6.2855 -5.1006 2.3255
F 0.7312 -9.4882 4.0605
F -6.3366 -11.0689 1.1601
F -2.6193 -9.3551 -1.8674
F -0.0249 -9.6537 -0.9716
F -1.0554 -1.6797 1.5771
F -6.8350 -7.7293 -1.7085
F -4.6508 -6.8740 1.1899
F -4.4508 -3.1683 1.9753
F -5.2550 -13.0746 -0.2233
F 0.5246 -7.0250 3.0624
F -1.6597 -7.8803 0.1640
F -1.8596 -11.5860 -0.6214
```

---

Compound: TaCl3F
Source: Alexandria via LeMat-Bulk
Functional: GGA-PBE
Structure: optimized geometry

Structure (extended XYZ):
```
5
Lattice="4.7474 0.0000 0.0000 0.0000 4.7474 0.0000 0.0000 0.0000 4.7474" Properties=species:S:1:pos:R:3 pbc="T T T"
F 2.3737 2.3737 2.3737
Ta 0.0000 0.0000 0.0000
Cl 0.0000 2.3737 0.0000
Cl 0.0000 0.0000 2.3737
Cl 2.3737 0.0000 0.0000
```

Values from the calculation:
Its energy above the most stable polymorph in this dataset is 0.0000 eV per atom.

---

Compound: TaCl3F
Source: Alexandria via LeMat-Bulk
Functional: GGA-PBE
Structure: optimized geometry

Structure (extended XYZ):
```
5
Lattice="4.5332 0.0000 0.0000 0.0000 4.5332 0.0000 0.0000 0.0000 4.5332" Properties=species:S:1:pos:R:3 pbc="T T T"
F 0.0000 0.0000 0.0000
Ta 2.2666 2.2666 2.2666
Cl 0.0000 2.2666 0.0000
Cl 0.0000 0.0000 2.2666
Cl 2.2666 0.0000 0.0000
```

Values from the calculation:
Its energy above the most stable polymorph in this dataset is 1.8122 eV per atom.

---

Compound: Ta2Cl8F
Source: Alexandria via LeMat-Bulk
Functional: GGA-PBE
Structure: optimized geometry

Structure (extended XYZ):
```
11
Lattice="6.8893 -0.2721 -0.3755 -0.5595 7.4907 3.3534 -0.6007 -0.2408 8.2006" Properties=species:S:1:pos:R:3 pbc="T T T"
F 0.0000 0.0000 0.0000
Cl 4.4850 0.4609 5.6790
Cl 1.2206 2.1014 8.2679
Cl 5.5417 1.1285 1.8470
Cl 0.1875 5.8493 9.3316
Cl 4.5085 4.8764 2.9107
Cl 1.2441 6.5169 5.4996
Cl 1.6952 2.1450 3.4357
Cl 4.0339 4.8328 7.7429
Ta 0.8247 1.0189 1.6321
Ta 4.9044 5.9589 9.5465
```

---

Compound: TaTl3Cl2F6
Source: Alexandria via LeMat-Bulk
Functional: GGA-PBE
Structure: optimized geometry

Structure (extended XYZ):
```
12
Lattice="4.7694 0.0000 0.3588 0.0000 7.9211 0.0000 -0.2630 -3.9605 7.9910" Properties=species:S:1:pos:R:3 pbc="T T T"
Ta 2.3847 0.0000 0.1794
Tl 0.0000 3.9605 0.0000
Tl 2.2532 1.9803 4.1749
Tl 2.2532 -1.9803 4.1749
Cl 0.0032 3.9605 3.0982
Cl 4.5031 0.0000 5.2516
F 3.4397 1.3897 1.0094
F 1.0666 2.5709 7.3404
F 3.2359 3.9605 6.6018
F 1.2704 0.0000 1.7480
F 1.0666 -2.5709 7.3404
F 3.4397 6.5314 1.0094
```

---

Compound: YTaClF2
Source: Alexandria via LeMat-Bulk
Functional: GGA-PBE
Structure: optimized geometry

Structure (extended XYZ):
```
5
Lattice="4.2466 0.0000 0.0000 0.0000 6.5075 0.0000 0.0000 0.0000 4.2466" Properties=species:S:1:pos:R:3 pbc="T T T"
Y 0.0000 0.0000 0.0000
F 0.0000 0.0000 2.1233
F 2.1233 0.0000 0.0000
Cl 2.1233 3.2538 2.1233
Ta 0.0000 3.2538 0.0000
```

---

Compound: TbCl2F
Source: Alexandria via LeMat-Bulk
Functional: GGA-PBE
Structure: optimized geometry

Structure (extended XYZ):
```
4
Lattice="3.8960 -0.0006 -0.9919 -0.3001 4.2163 -1.1797 -0.2622 -0.3096 7.1247" Properties=species:S:1:pos:R:3 pbc="T T T"
Tb 1.9453 0.0384 -0.5065
Cl 0.4188 0.5317 1.6450
Cl 2.9098 3.4495 3.2880
F 1.5328 1.8362 6.0271
```

Values from the calculation:
Its energy above the most stable polymorph in this dataset is 0.0000 eV per atom.

---

Compound: TbClF
Source: Alexandria via LeMat-Bulk
Functional: GGA-PBE
Structure: optimized geometry

Structure (extended XYZ):
```
6
Lattice="-1.5899 -2.1541 -2.6887 -3.6842 -2.7612 4.3901 -7.4995 0.0086 1.7496" Properties=species:S:1:pos:R:3 pbc="T T T"
Tb -7.9514 -3.5283 2.1730
Tb -4.8222 -1.3784 1.2780
Cl -10.4840 -3.5818 3.7132
Cl -2.2896 -1.3248 -0.2622
F -6.7965 -1.5323 2.5682
F -5.9771 -3.3744 0.8828
```

Values from the calculation:
Its energy above the most stable polymorph in this dataset is 0.0153 eV per atom.

---

Energy relative to the elements, uncorrected readings, ordered: -2.021; -2.394; -2.558; -2.807; -3.077; -2.602; -2.175; -2.943; -2.999; -2.078; -1.397; 0.716; -2.203; -0.868; 0.944; -1.481; -2.303; -1.445; -2.896; -2.643 eV/atom